(1)
A relaxed ScTe2Pd crystal, computed with PBE.

Lattice parameters (Å, degrees): 4.4992 5.1618 4.5036 90.00 102.40 90.00
Space group Pm (No. 6)
One atom of each set of equivalent atoms:
Sc  0.0000  0.0000  0.0000 (multiplicity 1)
Te  0.1819  0.5000  0.8215 (multiplicity 1)
Te  0.5981  0.0000  0.4029 (multiplicity 1)
Pd  0.7842  0.5000  0.2200 (multiplicity 1)

Results
ρ ... 6.6 Mg/m³
ΔE_f (raw) ... -0.7609 eV per atom
D(E_F) ... 1.13 states/eV/f.u.
Calculated total energy ... -20.85 eV for the cell shown
Distance to the lowest polymorph of the same formula ... 0.00 eV/f.u.

=====

(2)
A relaxed Sc4TePd crystal, computed with PBE.

Lattice parameters (Å, degrees): 7.7177 3.7365 18.2639 90.00 90.00 90.00
Space group Pnma (No. 62)
One atom of each set of equivalent atoms:
Sc  0.0050  0.2500  0.0692 (multiplicity 4)
Sc  0.0424  0.7500  0.2130 (multiplicity 4)
Sc  0.1398  0.7500  0.4445 (multiplicity 4)
Sc  0.1403  0.7500  0.6543 (multiplicity 4)
Te  0.2390  0.2500  0.3123 (multiplicity 4)
Pd  0.2372  0.2500  0.5516 (multiplicity 4)

Results
ρ ... 5.2 Mg/m³
ΔE_f (raw) ... -0.7232 eV per atom
D(E_F) ... 5.82 states/eV/f.u.
Calculated total energy ... -152.00 eV for the cell shown

=====

(3)
A relaxed ScTe3Pd crystal, computed with PBE.

Lattice parameters (Å, degrees): 5.2660 5.2660 5.2660 90.00 90.00 90.00
Space group Pm-3m (No. 221)
One atom of each set of equivalent atoms:
Sc  0.0000  0.0000  0.0000 (multiplicity 1)
Te  0.0000  0.5000  0.5000 (multiplicity 3)
Pd  0.5000  0.5000  0.5000 (multiplicity 1)

Results
ρ ... 6.1 Mg/m³
ΔE_f (raw) ... -0.0189 eV per atom
D(E_F) ... 3.73 states/eV/f.u.
Calculated total energy ... -21.04 eV for the cell shown
Distance to the lowest polymorph of the same formula ... 0.00 eV/f.u.

=====

(4)
A relaxed Sc2TePd crystal, computed with PBE.

Lattice parameters (Å, degrees): 7.4255 7.4255 6.7144 90.00 90.00 90.00
Space group I-42d (No. 122)
One atom of each set of equivalent atoms:
Sc  0.2214  0.2500  0.1250 (multiplicity 8)
Te  0.0000  0.0000  0.5000 (multiplicity 4)
Pd  0.0000  0.0000  0.0000 (multiplicity 4)

Results
ρ ... 5.8 Mg/m³
ΔE_f (raw) ... -0.5981 eV per atom
D(E_F) ... 3.35 states/eV/f.u.
Calculated total energy ... -93.56 eV for the cell shown

=====

(5)
A relaxed ScTe2Pd crystal, computed with PBE.

Lattice parameters (Å, degrees): 7.1077 7.1077 7.1077 90.00 90.00 90.00
Space group Fm-3m (No. 225)
One atom of each set of equivalent atoms:
Sc  0.0000  0.0000  0.0000 (multiplicity 4)
Te  0.2500  0.2500  0.2500 (multiplicity 8)
Pd  0.0000  0.0000  0.5000 (multiplicity 4)

Results
ρ ... 7.5 Mg/m³
ΔE_f (raw) ... -0.5437 eV per atom
D(E_F) ... 7.57 states/eV/f.u.
Calculated total energy ... -79.93 eV for the cell shown
Distance to the lowest polymorph of the same formula ... 0.87 eV/f.u.

=====

(6)
A relaxed Sc2Te2Pd crystal, computed with PBE.

Lattice parameters (Å, degrees): 7.6487 7.6487 3.9430 90.00 90.00 90.00
Space group P4/mbm (No. 127)
One atom of each set of equivalent atoms:
Sc  0.1523  0.3477  0.0000 (multiplicity 4)
Te  0.1555  0.6555  0.5000 (multiplicity 4)
Pd  0.0000  0.0000  0.0000 (multiplicity 2)

Results
ρ ... 6.5 Mg/m³
ΔE_f (raw) ... -0.7645 eV per atom
D(E_F) ... 2.90 states/eV/f.u.
Calculated total energy ... -55.92 eV for the cell shown
Distance to the lowest polymorph of the same formula ... 0.17 eV/f.u.

=====

(7)
A relaxed ScTe2Pd crystal, computed with PBE.

Lattice parameters (Å, degrees): 3.9034 3.9034 26.0995 90.00 90.00 120.00
Space group R-3m (No. 166, hexagonal axes)
One atom of each set of equivalent atoms:
Sc  0.0000  0.0000  0.0000 (multiplicity 3)
Te  0.0000  0.0000  0.1081 (multiplicity 6)
Pd  0.0000  0.0000  0.5000 (multiplicity 3)

Results
ρ ... 5.9 Mg/m³
ΔE_f (raw) ... -0.1524 eV per atom
D(E_F) ... 3.71 states/eV/f.u.
Calculated total energy ... -55.25 eV for the cell shown
Distance to the lowest polymorph of the same formula ... 2.43 eV/f.u.

=====

(8)
A relaxed Sc7Te2Pd2 crystal, computed with PBE.

Lattice parameters (Å, degrees): 3.7571 14.6114 9.0593 90.00 90.00 90.00
Space group Imm2 (No. 44)
One atom of each set of equivalent atoms:
Sc  0.0000  0.0000  0.0000 (multiplicity 2)
Sc  0.0000  0.1289  0.4158 (multiplicity 4)
Sc  0.0000  0.3168  0.6293 (multiplicity 4)
Sc  0.0000  0.3563  0.2663 (multiplicity 4)
Te  0.0000  0.0000  0.6641 (multiplicity 2)
Te  0.0000  0.5000  0.7632 (multiplicity 2)
Pd  0.0000  0.2357  0.9356 (multiplicity 4)

Results
ρ ... 5.2 Mg/m³
ΔE_f (raw) ... -0.7816 eV per atom
D(E_F) ... 10.84 states/eV/f.u.
Calculated total energy ... -139.17 eV for the cell shown

=====

(9)
A relaxed ScTePd5 crystal, computed with PBE.

Lattice parameters (Å, degrees): 4.1053 4.1053 7.4167 90.00 90.00 90.00
Space group P4/mmm (No. 123)
One atom of each set of equivalent atoms:
Sc  0.0000  0.0000  0.0000 (multiplicity 1)
Te  0.5000  0.5000  0.5000 (multiplicity 1)
Pd  0.0000  0.5000  0.2621 (multiplicity 4)
Pd  0.5000  0.5000  0.0000 (multiplicity 1)

Results
ρ ... 9.4 Mg/m³
ΔE_f (raw) ... -0.6178 eV per atom
D(E_F) ... 2.89 states/eV/f.u.
Calculated total energy ... -39.76 eV for the cell shown

=====

(10)
A relaxed Sc2Te2Pd crystal, computed with PBE.

Lattice parameters (Å, degrees): 7.6960 7.6960 3.7994 90.00 90.00 90.00
Space group P4/mbm (No. 127)
One atom of each set of equivalent atoms:
Sc  0.1501  0.3499  0.0000 (multiplicity 4)
Te  0.1562  0.6562  0.5000 (multiplicity 4)
Pd  0.0000  0.0000  0.5000 (multiplicity 2)

Results
ρ ... 6.7 Mg/m³
ΔE_f (raw) ... -0.7994 eV per atom
D(E_F) ... 3.79 states/eV/f.u.
Calculated total energy ... -56.27 eV for the cell shown
Distance to the lowest polymorph of the same formula ... 0.00 eV/f.u.

=====

(11)
A relaxed Sc2TePd crystal, computed with PBE.

Lattice parameters (Å, degrees): 3.9793 3.9793 24.8353 90.00 90.00 120.00
Space group R-3m (No. 166, hexagonal axes)
One atom of each set of equivalent atoms:
Sc  0.0000  0.0000  0.1114 (multiplicity 6)
Te  0.0000  0.0000  0.0000 (multiplicity 3)
Pd  0.0000  0.0000  0.5000 (multiplicity 3)

Results
ρ ... 4.7 Mg/m³
ΔE_f (raw) ... -0.4456 eV per atom
D(E_F) ... 3.08 states/eV/f.u.
Calculated total energy ... -68.34 eV for the cell shown

=====

(12)
A relaxed ScTePd crystal, computed with PBE.

Lattice parameters (Å, degrees): 3.7974 3.7974 8.7046 90.00 90.00 90.00
Space group I4mm (No. 107)
One atom of each set of equivalent atoms:
Sc  0.0000  0.0000  0.0000 (multiplicity 2)
Te  0.0000  0.0000  0.3438 (multiplicity 2)
Pd  0.0000  0.0000  0.6608 (multiplicity 2)

Results
ρ ... 7.4 Mg/m³
ΔE_f (raw) ... -0.7215 eV per atom
D(E_F) ... 2.06 states/eV/f.u.
Calculated total energy ... -33.66 eV for the cell shown